1.
Density functional theory data (PBE) for a geometry-optimized GeSb2PIr structure.

Properties
Its crystal system is tetragonal. As for the magnetic moment: 0.00 μB per cell. As for the space group: P4/mmm. The value obtained for the density of states at the Fermi level is 4.0 states/eV/cell. As for the calculated total energy: -4.119 eV per atom.

Cell and atoms, written as POSCAR:
```
GeSb2PIr
1.0
5.187 0.000 0.000
0.000 5.187 0.000
0.000 0.000 4.443
Ge Sb P Ir
1 2 1 1
Cartesian
0.000 0.000 0.000
0.000 2.594 0.000
2.594 0.000 0.000
0.000 0.000 2.221
2.594 2.594 2.221
```

2.
Density functional theory data (PBE) for a geometry-optimized Ba2P3Au structure.

Properties
As for the formation energy from the elements: -0.729 eV per atom. Its crystal system is orthorhombic. As for the magnetic moment: 0.00 μB per cell. As for the space group: Fmmm. The value obtained for the density of states at the Fermi level is 6.8 states/eV/cell.

Cell and atoms, written as POSCAR:
```
Ba2P3Au
1.0
0.000 4.776 7.579
4.507 0.000 7.579
4.507 4.776 0.000
Ba P Au
4 6 2
Cartesian
7.057 4.776 7.579
2.253 2.388 3.789
6.760 7.164 11.368
1.957 4.776 7.579
4.507 4.776 2.710
4.507 2.770 6.499
4.507 2.770 8.658
4.507 6.783 6.499
4.507 6.783 8.658
4.507 4.776 12.448
4.507 4.776 5.088
4.507 4.776 10.069
```

3.
Density functional theory data (PBE) for a geometry-optimized AgBiTe2 structure.

Properties
Its crystal system is trigonal. As for the magnetic moment: 0.00 μB per cell. As for the space group: R-3m. The value obtained for the density of states at the Fermi level is 2.4 states/eV/cell. As for the calculated total energy: -3.116 eV per atom.

Cell and atoms, written as POSCAR:
```
AgBiTe2
1.0
1.826 1.054 10.341
-1.826 1.054 10.341
0.000 -2.108 10.341
Ag Bi Te
1 1 2
Cartesian
0.000 0.000 0.000
0.000 0.000 15.512
0.000 0.000 12.370
0.000 0.000 18.654
```

4.
Density functional theory data (PBE) for a geometry-optimized Na3In8Cu3 structure.

Properties
As for the formation energy from the elements: -0.025 eV per atom. Its crystal system is orthorhombic. As for the magnetic moment: 0.00 μB per cell. As for the space group: Immm. The value obtained for the density of states at the Fermi level is 5.8 states/eV/cell.

Cell and atoms, written as POSCAR:
```
Na3In8Cu3
1.0
-2.335 5.430 6.413
2.335 -5.430 6.413
2.335 5.430 -6.413
Na In Cu
3 8 3
Cartesian
0.000 0.000 0.000
0.000 0.000 3.620
0.000 0.000 9.206
2.335 1.536 -1.632
2.335 -2.051 4.727
2.335 1.536 1.632
0.000 3.379 1.686
2.335 2.051 4.727
0.000 3.895 4.781
0.000 7.482 1.686
0.000 3.895 8.045
2.335 4.124 0.000
0.000 5.430 0.000
0.000 1.307 6.413
```